#P
Below is a relaxed TcNiSn2 crystal, with properties calculated at the PBE level.

Output
Volume ... 67.6 Å³/f.u.
SG ... P4/mmm (123)

```
TcNiSn2
1.0
4.5477 0.0000 0.0000
0.0000 4.5477 0.0000
0.0000 0.0000 3.2679
Tc Ni Sn
1 1 2
Cartesian
0.0000 0.0000 0.0000
2.2739 2.2739 0.0000
0.0000 2.2739 1.6340
2.2739 0.0000 1.6340
```

#Q
Below is a relaxed TcNiSn2 crystal, with properties calculated at the PBE level.

Output
Volume ... 75.7 Å³/f.u.
SG ... I-42d (122)

```
TcNiSn2
1.0
-3.5504 3.5504 3.0011
3.5504 -3.5504 3.0011
3.5504 3.5504 -3.0011
Tc Ni Sn
2 2 4
Cartesian
0.0000 0.0000 0.0000
0.0000 3.5504 1.5005
3.5504 0.0000 1.5005
0.0000 0.0000 3.0011
1.7752 -1.5841 2.2508
1.9663 1.7752 0.7503
1.7752 5.1345 -0.7503
1.5841 1.7752 3.7513
```

Relative stability in meV per atom, measured from the most stable structure: #P 0; #Q 389

#P
Below is a relaxed Ni2Sn2Te crystal, with properties calculated at the PBE level.

Output
Volume ... 96.7 Å³/f.u.
SG ... P4/mbm (127)

```
Ni2Sn2Te
1.0
7.1978 0.0000 0.0000
0.0000 7.1978 0.0000
0.0000 0.0000 3.7341
Ni Sn Te
4 4 2
Cartesian
0.9317 2.6672 0.0000
2.6672 6.2662 0.0000
4.5306 0.9317 0.0000
6.2662 4.5306 0.0000
1.1352 4.7341 1.8671
2.4638 1.1352 1.8671
4.7341 6.0627 1.8671
6.0627 2.4638 1.8671
0.0000 0.0000 0.0000
3.5989 3.5989 0.0000
```

#Q
Below is a relaxed Ni2Sn2Te crystal, with properties calculated at the PBE level.

Output
Volume ... 106.5 Å³/f.u.
SG ... I4/mmm (139)

```
Ni2Sn2Te
1.0
-1.7471 1.7471 8.7259
1.7471 -1.7471 8.7259
1.7471 1.7471 -8.7259
Ni Sn Te
2 2 1
Cartesian
1.7471 0.0000 4.3630
0.0000 1.7471 4.3630
0.0000 0.0000 2.4135
0.0000 0.0000 15.0384
0.0000 0.0000 8.7259
```

#R
Below is a relaxed Ni2Sn2Te crystal, with properties calculated at the PBE level.

Output
Volume ... 101.2 Å³/f.u.
SG ... I4/mmm (139)

```
Ni2Sn2Te
1.0
-2.1010 2.1010 5.7315
2.1010 -2.1010 5.7315
2.1010 2.1010 -5.7315
Ni Sn Te
2 2 1
Cartesian
0.0000 0.0000 1.2401
0.0000 0.0000 10.2230
2.1010 0.0000 2.8658
0.0000 2.1010 2.8658
0.0000 0.0000 5.7315
```

Relative stability in meV per atom, measured from the most stable structure: #P 0; #Q 71; #R 133

#P
Below is a relaxed Ni2SnTe2 crystal, with properties calculated at the PBE level.

Output
Volume ... 111.4 Å³/f.u.
SG ... C2/m (12)

```
Ni2SnTe2
1.0
5.8931 -2.0065 0.0000
5.8931 2.0065 0.0000
-2.3405 0.0000 4.7118
Ni Sn Te
2 1 2
Cartesian
1.3839 0.0000 0.6938
8.0618 0.0000 4.0180
5.8931 0.0000 0.0000
0.6278 0.0000 3.2541
8.8179 0.0000 1.4577
```

#Q
Below is a relaxed Ni2SnTe2 crystal, with properties calculated at the PBE level.

Output
Volume ... 99.1 Å³/f.u.
SG ... P4/mbm (127)

```
Ni2SnTe2
1.0
7.4210 0.0000 0.0000
0.0000 7.4210 0.0000
0.0000 0.0000 3.5999
Ni Sn Te
4 2 4
Cartesian
0.8903 2.8202 0.0000
2.8202 6.5308 0.0000
4.6008 0.8903 0.0000
6.5308 4.6008 0.0000
0.0000 0.0000 0.0000
3.7105 3.7105 0.0000
1.1851 4.8956 1.7999
2.5255 1.1851 1.7999
4.8956 6.2360 1.7999
6.2360 2.5255 1.7999
```

Relative stability in meV per atom, measured from the most stable structure: #P 0; #Q 201